[1]
A relaxed BaScAl2 crystal. Source: the Alexandria database, functional GGA-PBE.

abc: 3.673 3.673 7.775
angles: 90.00 90.00 90.00
Atoms (fractional coordinates):
Ba 0.500 0.500 0.250
Sc 0.500 0.500 0.750
Al 0.000 0.000 0.567
Al 0.000 0.000 0.933

Values from the calculation:
Energy above the lowest structure with this stoichiometry   0.000 eV per atom
Formation energy from the elements   -0.9 eV/f.u.
DOS at the Fermi energy   2.65 states/eV/f.u.

---

[2]
A relaxed Ba2ScAl crystal. Source: the Alexandria database, functional GGA-PBE.

abc: 5.143 4.091 7.716
angles: 74.67 90.00 90.00
Atoms (fractional coordinates):
Ba 0.500 0.278 0.319
Ba 0.000 0.972 0.932
Sc 0.000 0.670 0.534
Al 0.500 0.580 0.715

Values from the calculation:
Formation energy from the elements   0.5 eV/f.u.
DOS at the Fermi energy   3.60 states/eV/f.u.

---

Calculated total energy / eV/atom: -4.148 -3.356